Below is Cs6Au4O after structural relaxation, with properties calculated at the PBE level.

Structure (POSCAR):
```
Cs6Au4O
1.0
7.045 4.067 5.894
-7.045 4.067 5.894
0.000 -8.135 5.894
Cs Au O
12 8 2
Direct
0.057 0.933 0.722
0.067 0.278 0.943
0.222 0.433 0.557
0.278 0.943 0.067
0.433 0.557 0.222
0.443 0.778 0.567
0.557 0.222 0.433
0.567 0.443 0.778
0.722 0.057 0.933
0.778 0.567 0.443
0.933 0.722 0.057
0.943 0.067 0.278
0.128 0.750 0.372
0.250 0.250 0.250
0.250 0.628 0.872
0.372 0.128 0.750
0.628 0.872 0.250
0.750 0.372 0.128
0.750 0.750 0.750
0.872 0.250 0.628
0.000 0.000 0.000
0.500 0.500 0.500
```

formation energy from raw total energies	-0.52	eV/atom
calculated total energy	-57.9	eV per cell


Below is Pr3S3O2 after structural relaxation, with properties calculated at the PBE level.

Structure (POSCAR):
```
Pr3S3O2
1.0
-1.933 2.114 10.428
1.933 -2.114 10.428
1.933 2.114 -10.428
Pr S O
3 3 2
Direct
0.000 0.000 0.000
0.309 0.809 0.500
0.691 0.191 0.500
0.113 0.613 0.500
0.500 0.500 0.000
0.887 0.387 0.500
0.247 0.247 0.000
0.753 0.753 0.000
```

density of states at the Fermi level	0.19	states/eV/atom
formation energy from raw total energies	-2.32	eV/atom
calculated total energy	-55.2	eV per cell


Below is CsZrSb2I after structural relaxation, with properties calculated at the PBE level.

Structure (POSCAR):
```
CsZrSb2I
1.0
5.582 0.000 0.000
0.000 5.582 0.000
0.000 0.000 6.365
Cs Zr Sb I
1 1 2 1
Direct
0.000 0.000 0.000
0.500 0.500 0.500
0.000 0.500 0.500
0.500 0.000 0.500
0.500 0.500 0.000
```

density of states at the Fermi level	0.49	states/eV/atom
formation energy from raw total energies	-0.46	eV/atom
calculated total energy	-21.5	eV per cell


Below is VTc3P after structural relaxation, with properties calculated at the PBE level.

Structure (POSCAR):
```
VTc3P
1.0
4.322 0.000 0.000
0.000 4.322 0.000
0.000 0.000 4.322
V Tc P
1 3 1
Direct
0.000 0.000 0.000
0.000 0.500 0.500
0.500 0.000 0.500
0.500 0.500 0.000
0.500 0.500 0.500
```

formation energy	0.4500	eV per atom
density of states at the Fermi level	0.64	states/eV/atom
calculated total energy	-43.4	eV per cell


Density, respectively: 5.25; 5.36; 4.98; 7.73 g cm⁻³.
Total magnetic moment, respectively: 0.15; 1.04; 0.00; 0.07 μB/f.u..